(1)
{"formula": "Y2AlSi2Rh5", "functional": "PBE", "state": "optimized geometry", "magnetic_moment_mub_per_cell": 0.00, "density_g_cm3": 7.88, "e_tot_ev_per_atom": -7.415, "formation_energy_uncorrected_ev_per_atom": -0.99, "lattice_angstrom": [[9.7382, 0.0000, 0.0000], [0.0000, 9.7382, 0.0000], [0.0000, 0.0000, 3.4477]], "species": ["Y", "Y", "Y", "Y", "Al", "Al", "Si", "Si", "Si", "Si", "Rh", "Rh", "Rh", "Rh", "Rh", "Rh", "Rh", "Rh", "Rh", "Rh"], "frac_coords": [[0.1749, 0.3251, 0.0000], [0.3251, 0.8251, 0.0000], [0.6749, 0.1749, 0.0000], [0.8251, 0.6749, 0.0000], [0.0000, 0.0000, 0.0000], [0.5000, 0.5000, 0.0000], [0.1239, 0.6239, 0.0000], [0.3761, 0.1239, 0.0000], [0.6239, 0.8761, 0.0000], [0.8761, 0.3761, 0.0000], [0.0000, 0.5000, 0.5000], [0.0678, 0.7894, 0.5000], [0.2106, 0.0678, 0.5000], [0.2894, 0.5678, 0.5000], [0.4322, 0.2894, 0.5000], [0.5000, 0.0000, 0.5000], [0.5678, 0.7106, 0.5000], [0.7106, 0.4322, 0.5000], [0.7894, 0.9322, 0.5000], [0.9322, 0.2106, 0.5000]]}

(2)
{"formula": "Ho4SnGeN", "functional": "PBE", "state": "optimized geometry", "magnetic_moment_mub_per_cell": 0.00, "density_g_cm3": 8.64, "e_tot_ev_per_atom": -6.012, "formation_energy_uncorrected_ev_per_atom": -0.97, "lattice_angstrom": [[3.2671, -7.7826, 0.0000], [3.2671, 7.7826, 0.0000], [0.0000, 0.0000, 6.5386]], "species": ["Ho", "Ho", "Ho", "Ho", "Ho", "Ho", "Ho", "Ho", "Sn", "Sn", "Ge", "Ge", "N", "N"], "frac_coords": [[0.0000, 0.5000, 0.0000], [0.0000, 0.5000, 0.5000], [0.0820, 0.9180, 0.7500], [0.4098, 0.5902, 0.7500], [0.5000, 0.0000, 0.0000], [0.5000, 0.0000, 0.5000], [0.5902, 0.4098, 0.2500], [0.9180, 0.0820, 0.2500], [0.3938, 0.6062, 0.2500], [0.6062, 0.3938, 0.7500], [0.1132, 0.8868, 0.2500], [0.8868, 0.1132, 0.7500], [0.2481, 0.7519, 0.7500], [0.7519, 0.2481, 0.2500]]}

(3)
{"formula": "BaTc2Ir", "functional": "PBE", "state": "optimized geometry", "magnetic_moment_mub_per_cell": 0.00, "density_g_cm3": 10.43, "e_tot_ev_per_atom": -7.247, "ef_kj_per_mol_atoms": 60.9, "e_above_lowest_polymorph_ev_per_atom": 0.313, "lattice_angstrom": [[2.9042, 0.0000, 0.0000], [0.0000, 3.8112, 0.0000], [0.0000, 0.0000, 7.5598]], "species": ["Ba", "Tc", "Tc", "Ir"], "frac_coords": [[0.0000, 0.0000, 0.0000], [0.5000, 0.5000, 0.3389], [0.5000, 0.5000, 0.6611], [0.0000, 0.0000, 0.5000]]}

(4)
{"formula": "LiPr2Th", "functional": "PBE", "state": "optimized geometry", "magnetic_moment_mub_per_cell": 0.00, "density_g_cm3": 6.81, "e_tot_ev_per_atom": -4.460, "ef_kj_per_mol_atoms": 25.4, "e_above_lowest_polymorph_ev_per_atom": 0.227, "lattice_angstrom": [[0.0000, 3.9894, 3.9894], [3.9894, 0.0000, 3.9894], [3.9894, 3.9894, 0.0000]], "species": ["Li", "Pr", "Pr", "Th"], "frac_coords": [[0.0000, 0.0000, 0.0000], [0.2500, 0.2500, 0.2500], [0.7500, 0.7500, 0.7500], [0.5000, 0.5000, 0.5000]]}

(5)
{"formula": "CaAg2HgBr6", "functional": "PBE", "state": "optimized geometry", "magnetic_moment_mub_per_cell": 0.00, "density_g_cm3": 5.19, "e_tot_ev_per_atom": -2.634, "formation_energy_uncorrected_ev_per_atom": -0.83, "lattice_angstrom": [[7.2526, 0.0000, 0.0000], [-3.6231, 6.2886, 0.0000], [-3.6217, -2.0916, 6.5658]], "species": ["Ca", "Ag", "Ag", "Hg", "Br", "Br", "Br", "Br", "Br", "Br"], "frac_coords": [[0.0000, 0.0000, 0.0000], [0.6073, 0.8040, 0.4110], [0.6123, 0.3061, 0.9180], [0.0076, 0.5036, 0.5110], [0.1210, 0.4074, 0.2179], [0.1228, 0.2194, 0.7118], [0.4926, 0.9032, 0.7116], [0.5044, 0.0973, 0.2178], [0.8089, 0.5895, 0.7118], [0.8105, 0.7135, 0.2178]]}

(6)
{"formula": "BaCuSi2", "functional": "PBE", "state": "optimized geometry", "magnetic_moment_mub_per_cell": 0.00, "density_g_cm3": 4.28, "e_tot_ev_per_atom": -4.387, "formation_energy_uncorrected_ev_per_atom": -0.17, "lattice_angstrom": [[-2.4815, 2.4815, 8.0905], [2.4815, -2.4815, 8.0905], [2.4815, 2.4815, -8.0905]], "species": ["Ba", "Ba", "Cu", "Cu", "Si", "Si", "Si", "Si"], "frac_coords": [[0.3750, 0.6250, 0.7500], [0.6250, 0.3750, 0.2500], [0.1250, 0.8750, 0.2500], [0.8750, 0.1250, 0.7500], [0.0000, 0.0000, 0.0000], [0.0000, 0.0000, 0.5000], [0.0000, 0.5000, 0.0000], [0.5000, 0.0000, 0.5000]]}